VASP calculation (PBE) on an optimized crystal structure of Na2ZnGeAu6.

Output
N(E_F) in states/eV/cell: 2.06
Formation energy from the elements in eV per formula unit: -0.1

Cell lengths 7.0124, 7.0124, 7.0124 Å; angles 60.00, 60.00, 90.00 degrees
With the nearest neighbours (Å) after each atom.
Atoms (fractional coordinates):
Na 0.2500 0.7500 0.5000  12 Au 3.51
Na 0.7500 0.2500 0.5000  12 Au 3.51
Zn 0.5000 0.5000 0.0000  6 Au 2.47
Ge 0.0000 0.0000 0.0000  6 Au 2.49
Au 0.2507 0.7493 0.0000  1 Zn 2.47, 1 Ge 2.49
Au 0.7493 0.7493 0.0000  1 Zn 2.47, 1 Ge 2.49
Au 0.2507 0.2507 0.4986  1 Zn 2.47, 1 Ge 2.49
Au 0.7493 0.2507 0.0000  1 Zn 2.47, 1 Ge 2.49
Au 0.2507 0.2507 0.0000  1 Zn 2.47, 1 Ge 2.49
Au 0.7493 0.7493 0.5014  1 Zn 2.47, 1 Ge 2.49

---

VASP calculation (PBE) on an optimized crystal structure of Nd5HoTm2Sc.

Output
N(E_F) in states/eV/cell: 26.44
Formation energy from the elements in eV per formula unit: 1.1

Cell lengths 5.3525, 11.2183, 10.2506 Å; angles 90.00, 90.00, 103.80 degrees
With the nearest neighbours (Å) after each atom.
Atoms (fractional coordinates):
Nd 0.3733 0.7466 0.0082  1 Sc 3.49, 4 Tm 3.73-3.74, 6 Nd 3.76-3.83
Nd 0.7210 0.4420 0.8207  2 Nd 3.23, 1 Ho 3.24, 3 Sc 3.30-3.51, 2 Tm 3.58
Nd 0.5001 0.0001 0.7580  2 Ho 3.38, 4 Tm 3.67, 6 Nd 3.71-3.77
Nd 0.2794 0.5588 0.6964  2 Nd 3.23, 1 Ho 3.24, 3 Sc 3.30-3.51, 2 Tm 3.58
Nd 0.0009 0.0018 0.5080  2 Ho 3.48, 4 Tm 3.58-3.60, 6 Nd 3.71-3.83
Nd 0.6267 0.2534 0.5082  1 Sc 3.49, 4 Tm 3.74, 6 Nd 3.76-3.83
Nd 0.2790 0.5580 0.3206  2 Nd 3.23, 1 Ho 3.24, 3 Sc 3.30-3.51, 2 Tm 3.58
Nd 0.4999 0.9999 0.2580  2 Ho 3.38, 4 Tm 3.67, 6 Nd 3.70-3.77
Nd 0.7206 0.4412 0.1964  2 Nd 3.23, 1 Ho 3.24, 3 Sc 3.30-3.51, 2 Tm 3.58
Nd 0.9991 0.9982 0.0081  2 Ho 3.48, 4 Tm 3.58-3.60, 6 Nd 3.70-3.83
Ho 0.6011 0.2021 0.0081  6 Nd 3.24-3.48, 2 Sc 3.62
Ho 0.3989 0.7978 0.5080  6 Nd 3.24-3.48, 2 Sc 3.62
Tm 0.8847 0.7695 0.7549  1 Sc 3.31, 7 Nd 3.58-3.67, 2 Ho 3.70
Tm 0.1156 0.2311 0.7613  1 Sc 3.31, 7 Nd 3.58-3.67, 2 Ho 3.70
Tm 0.1153 0.2305 0.2549  1 Sc 3.31, 7 Nd 3.58-3.67, 2 Ho 3.70
Tm 0.8844 0.7689 0.2613  1 Sc 3.31, 7 Nd 3.58-3.67, 2 Ho 3.70
Sc 0.7869 0.5737 0.5085  7 Nd 3.30-3.51, 2 Tm 3.31, 2 Ho 3.62
Sc 0.2132 0.4263 0.0085  7 Nd 3.30-3.51, 2 Tm 3.31, 2 Ho 3.62

---

VASP calculation (PBE) on an optimized crystal structure of CoHgAs2.

Output
N(E_F) in states/eV/cell: 3.34
Formation energy from the elements in eV per formula unit: 0.8

Cell lengths 2.9369, 3.8486, 6.7792 Å; angles 77.94, 90.00, 90.00 degrees
With the nearest neighbours (Å) after each atom.
Atoms (fractional coordinates):
As 0.0000 0.9621 0.0398  1 Co 2.37
As 0.5000 0.2370 0.3298  4 Co 2.40-2.50
Co 0.0000 0.6982 0.3881  5 As 2.37-2.50
Hg 0.5000 0.6027 0.7422  2 Co 2.77, 2 Hg 2.94, 2 As 3.05

---

VASP calculation (PBE) on an optimized crystal structure of GaCu2Pt.

Output
N(E_F) in states/eV/cell: 0.91
Formation energy from the elements in eV per formula unit: -1.3

Cell lengths 3.8850, 3.8845, 4.5349 Å; angles 115.36, 115.36, 90.00 degrees
With the nearest neighbours (Å) after each atom.
Atoms (fractional coordinates):
Ga 0.4999 0.4999 0.9998  8 Cu 2.65-2.75, 4 Pt 2.65
Cu 0.0001 0.0001 0.0001  4 Cu 2.65, 4 Pt 2.65, 4 Ga 2.75
Cu 0.2500 0.7500 0.5000  4 Ga 2.65, 4 Cu 2.65, 4 Pt 2.75
Pt 0.7500 0.2500 0.5000  8 Cu 2.65-2.75, 4 Ga 2.65

---

VASP calculation (PBE) on an optimized crystal structure of La3B2N4.

Output
N(E_F) in states/eV/cell: 4.00

Cell lengths 7.8961, 6.2126, 6.2126 Å; angles 69.50, 80.28, 80.28 degrees
With the nearest neighbours (Å) after each atom.
Atoms (fractional coordinates):
La 0.8906 0.0406 0.2502  4 N 2.47-2.67, 1 B 2.75
La 0.6094 0.7498 0.9594  4 N 2.47-2.67, 1 B 2.75
La 0.1094 0.9594 0.7498  4 N 2.47-2.67, 1 B 2.75
La 0.3906 0.2502 0.0406  4 N 2.47-2.67, 1 B 2.75
La 0.2500 0.5111 0.4889  6 N 2.55-2.80
La 0.7500 0.4889 0.5111  6 N 2.55-2.80
B 0.5442 0.1540 0.4355  3 N 1.46-1.56
B 0.9558 0.5645 0.8460  3 N 1.46-1.56
B 0.4558 0.8460 0.5645  3 N 1.46-1.56
B 0.0442 0.4355 0.1540  3 N 1.46-1.56
N 0.5827 0.9403 0.3503  2 B 1.52-1.56
N 0.9173 0.6497 0.0597  2 B 1.52-1.56
N 0.4173 0.0597 0.6497  2 B 1.52-1.56
N 0.0827 0.3503 0.9403  2 B 1.52-1.56
N 0.0509 0.2830 0.3931  1 B 1.46
N 0.4491 0.6069 0.7170  1 B 1.46
N 0.9491 0.7170 0.6069  1 B 1.46
N 0.5509 0.3931 0.2830  1 B 1.46

---

VASP calculation (PBE) on an optimized crystal structure of Tc3P.

Output
N(E_F) in states/eV/cell: 10.53
Formation energy from the elements in eV per formula unit: 0.3

Cell lengths 5.4466, 5.4466, 4.3034 Å; angles 90.00, 90.00, 120.00 degrees
With the nearest neighbours (Å) after each atom.
Atoms (fractional coordinates):
Tc 0.8291 0.6582 0.2500  4 P 2.64-2.72, 8 Tc 2.65-2.79
Tc 0.3418 0.1709 0.2500  4 P 2.64-2.72, 8 Tc 2.65-2.79
Tc 0.8291 0.1709 0.2500  4 P 2.64-2.72, 8 Tc 2.65-2.79
Tc 0.1709 0.3418 0.7500  4 P 2.64-2.72, 8 Tc 2.65-2.79
Tc 0.6582 0.8291 0.7500  4 P 2.64-2.72, 8 Tc 2.65-2.79
Tc 0.1709 0.8291 0.7500  4 P 2.64-2.72, 8 Tc 2.65-2.79
P 0.3333 0.6667 0.2500  12 Tc 2.64-2.72
P 0.6667 0.3333 0.7500  12 Tc 2.64-2.72

---

VASP calculation (PBE) on an optimized crystal structure of MgNiRu.

Output
N(E_F) in states/eV/cell: 4.02
Formation energy from the elements in eV per formula unit: 0.5

Cell lengths 4.3061, 4.3061, 2.6669 Å; angles 90.00, 90.00, 120.00 degrees
With the nearest neighbours (Å) after each atom.
Atoms (fractional coordinates):
Mg 0.0000 0.0000 0.0004  2 Mg 2.67, 6 Ni 2.82, 6 Ru 2.82
Ni 0.6667 0.3333 0.4992  3 Ru 2.49, 2 Ni 2.67
Ru 0.3333 0.6667 0.5004  3 Ni 2.49, 2 Ru 2.67

---

VASP calculation (PBE) on an optimized crystal structure of NbV3Se.

Output
N(E_F) in states/eV/cell: 6.66

Cell lengths 4.6426, 4.6426, 4.6426 Å; angles 90.00, 90.00, 90.00 degrees
With the nearest neighbours (Å) after each atom.
Atoms (fractional coordinates):
Nb 0.0000 0.0000 0.0000  6 V 2.32
Se 0.5000 0.5000 0.5000  12 V 3.28
V 0.0000 0.5000 0.0000  2 Nb 2.32
V 0.0000 0.0000 0.5000  2 Nb 2.32
V 0.5000 0.0000 0.0000  2 Nb 2.32

---

VASP calculation (PBE) on an optimized crystal structure of RbSrMnI5.

Output
N(E_F) in states/eV/cell: 0.00

Cell lengths 8.8042, 8.8042, 11.6678 Å; angles 104.25, 104.25, 105.45 degrees
With the nearest neighbours (Å) after each atom.
Atoms (fractional coordinates):
Rb 0.3525 0.6475 0.2500  5 I 3.62-3.77
Rb 0.6475 0.3525 0.7500  5 I 3.62-3.77
Sr 0.0000 0.0000 0.5000  6 I 3.20-3.38
Sr 0.0000 0.0000 0.0000  6 I 3.20-3.38
Mn 0.6834 0.3166 0.2500  4 I 2.71-2.72
Mn 0.3166 0.6834 0.7500  4 I 2.71-2.72
I 0.0944 0.9056 0.2500  2 Sr 3.20
I 0.9056 0.0944 0.7500  2 Sr 3.20
I 0.9139 0.3354 0.1325  1 Mn 2.71
I 0.0861 0.6646 0.8675  1 Mn 2.71
I 0.6646 0.0861 0.3675  1 Mn 2.71
I 0.3354 0.9139 0.6325  1 Mn 2.71
I 0.7439 0.6055 0.4344  1 Mn 2.72
I 0.2561 0.3945 0.5656  1 Mn 2.72
I 0.3945 0.2561 0.0656  1 Mn 2.72
I 0.6055 0.7439 0.9344  1 Mn 2.72

---

VASP calculation (PBE) on an optimized crystal structure of Tl2PtPb.

Output
N(E_F) in states/eV/cell: 1.96
Formation energy from the elements in eV per formula unit: 0.0

Cell lengths 7.4052, 7.4052, 4.6397 Å; angles 71.73, 71.73, 27.13 degrees
With the nearest neighbours (Å) after each atom.
Atoms (fractional coordinates):
Pb 0.2500 0.2500 0.2500  4 Pt 2.90
Pt 0.7500 0.7500 0.7500  4 Pb 2.90, 4 Tl 3.06
Tl 0.0651 0.0651 0.9344  2 Pt 3.06, 4 Tl 3.40, 2 Pb 3.42-3.43
Tl 0.4349 0.4349 0.5656  2 Pt 3.06, 4 Tl 3.40, 2 Pb 3.42-3.43

---

VASP calculation (PBE) on an optimized crystal structure of RbLiSm2Br8.

Output
N(E_F) in states/eV/cell: 0.00

Cell lengths 7.2925, 7.1049, 8.9030 Å; angles 90.00, 90.00, 82.01 degrees
With the nearest neighbours (Å) after each atom.
Atoms (fractional coordinates):
Rb 0.0000 0.0000 0.5000  6 Br 3.26-3.63
Li 0.0000 0.0000 0.0000  4 Br 2.73
Sm 0.5000 0.5000 0.7591  6 Br 2.82-2.96
Sm 0.5000 0.5000 0.2409  6 Br 2.82-2.96
Br 0.1700 0.7560 0.2099  1 Li 2.73, 1 Sm 2.82
Br 0.6442 0.7151 0.0000  2 Sm 2.91
Br 0.8300 0.2439 0.2099  1 Li 2.73, 1 Sm 2.82
Br 0.8300 0.2440 0.7901  1 Li 2.73, 1 Sm 2.82
Br 0.3558 0.2849 0.0000  2 Sm 2.91
Br 0.1700 0.7561 0.7901  1 Li 2.73, 1 Sm 2.82
Br 0.6320 0.7038 0.5000  2 Sm 2.96
Br 0.3680 0.2962 0.5000  2 Sm 2.96

---

VASP calculation (PBE) on an optimized crystal structure of Mo3P.

Output
N(E_F) in states/eV/cell: 2.54
Formation energy from the elements in eV per formula unit: -0.4

Cell lengths 5.1546, 5.1546, 5.1546 Å; angles 144.41, 132.08, 61.10 degrees
With the nearest neighbours (Å) after each atom.
Atoms (fractional coordinates):
Mo 0.6568 0.7401 0.9166  6 Mo 2.63-2.79, 2 P 2.65
Mo 0.1765 0.2599 0.9166  6 Mo 2.63-2.79, 2 P 2.65
Mo 0.9166 0.5000 0.4166  4 P 2.62, 4 Mo 2.79
P 0.4168 0.0000 0.4168  8 Mo 2.62-2.65

---

VASP calculation (PBE) on an optimized crystal structure of CaTePt2.

Output
N(E_F) in states/eV/cell: 2.72

Cell lengths 3.7133, 3.7136, 5.9555 Å; angles 90.00, 90.00, 90.01 degrees
With the nearest neighbours (Å) after each atom.
Atoms (fractional coordinates):
Ca 0.5000 0.5000 0.7500  2 Te 2.98, 8 Pt 3.05
Te 0.5000 0.5000 0.2500  2 Ca 2.98, 8 Pt 2.99
Pt 0.0000 0.0000 0.0093  2 Pt 2.87-3.09, 4 Te 2.99, 4 Ca 3.05
Pt 0.0000 0.0000 0.4907  2 Pt 2.87-3.09, 4 Te 2.99, 4 Ca 3.05

---

VASP calculation (PBE) on an optimized crystal structure of CsLi4Pr3I12.

Output
N(E_F) in states/eV/cell: 10.57

Cell lengths 10.5284, 10.5284, 10.5284 Å; angles 108.84, 108.84, 108.84 degrees
With the nearest neighbours (Å) after each atom.
Atoms (fractional coordinates):
Cs 0.0000 0.0000 0.0000  6 I 4.06
Li 0.9101 0.0899 0.5000  3 I 2.70-2.79
Li 0.0899 0.5000 0.9101  3 I 2.70-2.79
Li 0.5000 0.9101 0.0899  3 I 2.70-2.79
Li 0.5000 0.5000 0.5000  3 I 2.66
Pr 0.5818 0.4182 0.0000  6 I 3.19-3.21
Pr 0.4182 0.0000 0.5818  6 I 3.19-3.21
Pr 0.0000 0.5818 0.4182  6 I 3.19-3.21
I 0.5000 0.3447 0.6553  1 Li 2.66
I 0.9269 0.5000 0.0731  1 Li 2.79
I 0.0731 0.9269 0.5000  1 Li 2.79
I 0.5000 0.0731 0.9269  1 Li 2.79
I 0.3345 0.9290 0.2386  1 Li 2.70
I 0.2386 0.3345 0.9290  1 Li 2.70
I 0.9290 0.2386 0.3345  1 Li 2.70
I 0.6655 0.7614 0.0710  1 Li 2.70
I 0.0710 0.6655 0.7614  1 Li 2.70
I 0.7614 0.0710 0.6655  1 Li 2.70
I 0.6553 0.5000 0.3447  1 Li 2.66
I 0.3447 0.6553 0.5000  1 Li 2.66

---

Across the entries above, E_tot takes the values -28.3, -85.1, -15.9, -18.5, -142.7, -72.4, -16.2, -33.8, -57.9, -14.4, -46.8, -38.3, -19.0, -66.0 eV for the cell shown, respectively.